(1)
The following is a DFT calculation (PBE) of GdDyAl4Au2 after structural relaxation.

Results
Electronic total energy, eV/atom: -3.69

Unit cell a=5.6292 b=8.4440 c=8.4440 alpha=36.48 beta=90.00 gamma=90.00
With the nearest neighbours (Å) after each atom.
Fractional positions:
1 Gd 0.0000 0.6066 0.6066  3 Au 2.98-3.10, 4 Al 3.08
2 Al 0.7294 0.0814 0.0814  1 Au 2.53, 2 Al 2.56-2.58
3 Al 0.2658 0.9217 0.9217  1 Au 2.56, 2 Al 2.56-2.64
4 Al 0.7342 0.9217 0.9217  1 Au 2.56, 2 Al 2.56-2.64
5 Al 0.2706 0.0814 0.0814  1 Au 2.53, 2 Al 2.56-2.58
6 Au 0.0000 0.7923 0.7923  2 Al 2.56
7 Au 0.0000 0.2075 0.2075  2 Al 2.53
8 Dy 0.0000 0.3874 0.3874  3 Au 2.89-3.05, 4 Al 3.09

(2)
The following is a DFT calculation (PBE) of GdDy2Al3NiAu2 after structural relaxation.

Results
Electronic total energy, eV/atom: -4.88

Unit cell a=4.0895 b=7.1887 c=7.1887 alpha=120.03 beta=90.00 gamma=90.00
With the nearest neighbours (Å) after each atom.
Fractional positions:
1 Dy 0.0000 0.5990 0.0002  1 Ni 2.88, 4 Au 2.99
2 Dy 0.0000 0.0002 0.5990  1 Ni 2.88, 4 Au 2.99
3 Al 0.5000 0.9994 0.2235  2 Ni 2.61, 2 Al 2.79, 2 Au 2.85-2.88
4 Al 0.5000 0.7758 0.7758  2 Ni 2.59, 2 Al 2.79, 2 Au 2.88
5 Al 0.5000 0.2235 0.9994  2 Ni 2.61, 2 Al 2.79, 2 Au 2.85-2.88
6 Au 0.5000 0.3326 0.6691  3 Al 2.85-2.88, 4 Dy 2.99, 2 Gd 3.01
7 Au 0.5000 0.6691 0.3326  3 Al 2.85-2.88, 4 Dy 2.99, 2 Gd 3.01
8 Gd 0.0000 0.4024 0.4024  1 Ni 2.91, 4 Au 3.01, 4 Al 3.24
9 Ni 0.0000 0.9979 0.9979  6 Al 2.59-2.61, 2 Dy 2.88

(3)
The following is a DFT calculation (PBE) of Gd2DyAl3NiAu2 after structural relaxation.

Results
Electronic total energy, eV/atom: -4.88

Unit cell a=4.0924 b=7.2091 c=7.2091 alpha=119.96 beta=90.00 gamma=90.00
With the nearest neighbours (Å) after each atom.
Fractional positions:
1 Gd 0.0000 0.0000 0.5969  1 Ni 2.91, 4 Au 3.01, 4 Al 3.25
2 Gd 0.0000 0.5969 0.0000  1 Ni 2.91, 4 Au 3.01, 4 Al 3.25
3 Ni 0.0000 0.0019 0.0019  6 Al 2.59-2.61, 1 Dy 2.89
4 Al 0.5000 0.0007 0.2226  2 Ni 2.59, 2 Al 2.77-2.78, 1 Au 2.88
5 Al 0.5000 0.7776 0.7776  2 Ni 2.61, 2 Al 2.78, 2 Au 2.88
6 Al 0.5000 0.2226 0.0007  2 Ni 2.59, 2 Al 2.77-2.78, 1 Au 2.88
7 Dy 0.0000 0.4021 0.4021  1 Ni 2.89, 4 Au 2.99
8 Au 0.5000 0.3340 0.6643  3 Al 2.88-2.91, 2 Dy 2.99, 4 Gd 3.01
9 Au 0.5000 0.6643 0.3340  3 Al 2.88-2.91, 2 Dy 2.99, 4 Gd 3.01

(4)
The following is a DFT calculation (PBE) of GdDy2Al3PtAu2 after structural relaxation.

Results
Electronic total energy, eV/atom: -5.11

Unit cell a=3.9594 b=7.3872 c=7.3872 alpha=119.98 beta=90.00 gamma=90.00
With the nearest neighbours (Å) after each atom.
Fractional positions:
1 Al 0.5000 0.2369 0.2369  2 Pt 2.63, 2 Au 2.90
2 Al 0.5000 0.7632 0.0007  2 Pt 2.65, 2 Au 2.86-2.90
3 Al 0.5000 0.0007 0.7632  2 Pt 2.65, 2 Au 2.86-2.90
4 Gd 0.0000 0.5887 0.5887  4 Au 3.00, 1 Pt 3.05, 6 Al 3.27-3.31
5 Dy 0.0000 0.4096 0.9999  4 Au 2.98, 1 Pt 3.02, 6 Al 3.27-3.29
6 Dy 0.0000 0.9999 0.4096  4 Au 2.98, 1 Pt 3.02, 6 Al 3.27-3.29
7 Au 0.5000 0.3311 0.6678  3 Al 2.86-2.90, 4 Dy 2.98, 2 Gd 3.00
8 Au 0.5000 0.6678 0.3311  3 Al 2.86-2.90, 4 Dy 2.98, 2 Gd 3.00
9 Pt 0.0000 0.0021 0.0021  6 Al 2.63-2.65

(5)
The following is a DFT calculation (PBE) of DyHo2Al3Ge2Au after structural relaxation.

Results
Electronic total energy, eV/atom: -4.88

Unit cell a=4.2607 b=7.0418 c=7.0418 alpha=120.06 beta=90.00 gamma=90.00
With the nearest neighbours (Å) after each atom.
Fractional positions:
1 Ho 0.0000 0.4139 0.9997  1 Au 2.91, 4 Ge 3.00, 2 Al 3.25
2 Ho 0.0000 0.9997 0.4139  1 Au 2.91, 4 Ge 3.00, 2 Al 3.25
3 Al 0.5000 0.9999 0.7620  2 Au 2.71, 2 Ge 2.74-2.75, 2 Al 2.90
4 Al 0.5000 0.7620 0.9999  2 Au 2.71, 2 Ge 2.74-2.75, 2 Al 2.90
5 Al 0.5000 0.2380 0.2380  2 Au 2.70, 2 Ge 2.75, 2 Al 2.90
6 Dy 0.0000 0.5859 0.5859  1 Au 2.92, 4 Ge 3.01, 2 Al 3.25
7 Ge 0.5000 0.3324 0.6668  3 Al 2.74-2.75, 4 Ho 3.00, 2 Dy 3.01
8 Ge 0.5000 0.6668 0.3324  3 Al 2.74-2.75, 4 Ho 3.00, 2 Dy 3.01
9 Au 0.0000 0.0014 0.0014  6 Al 2.70-2.71, 2 Ho 2.91, 1 Dy 2.92

(6)
The following is a DFT calculation (PBE) of Tb2DyAl3Ge2Au after structural relaxation.

Results
Electronic total energy, eV/atom: -4.90

Unit cell a=4.2797 b=7.0688 c=7.0688 alpha=119.94 beta=90.00 gamma=90.00
With the nearest neighbours (Å) after each atom.
Fractional positions:
1 Au 0.0000 0.0014 0.0014  6 Al 2.72-2.73, 1 Dy 2.92, 2 Tb 2.93
2 Ge 0.5000 0.6657 0.3335  3 Al 2.76-2.77, 2 Dy 3.01, 4 Tb 3.02
3 Ge 0.5000 0.3335 0.6657  3 Al 2.76-2.77, 2 Dy 3.01, 4 Tb 3.02
4 Al 0.5000 0.2373 0.0000  2 Au 2.72, 2 Ge 2.76-2.77, 2 Al 2.90-2.91
5 Al 0.5000 0.0000 0.2373  2 Au 2.72, 2 Ge 2.76-2.77, 2 Al 2.90-2.91
6 Al 0.5000 0.7627 0.7627  2 Au 2.73, 2 Ge 2.76, 2 Al 2.91
7 Dy 0.0000 0.4140 0.4140  1 Au 2.92, 4 Ge 3.01, 2 Al 3.27
8 Tb 0.0000 0.5858 0.9997  1 Au 2.93, 4 Ge 3.02, 2 Al 3.26
9 Tb 0.0000 0.9997 0.5858  1 Au 2.93, 4 Ge 3.02, 2 Al 3.26

(7)
The following is a DFT calculation (PBE) of Dy2TmAl3Ge2Au after structural relaxation.

Results
Electronic total energy, eV/atom: -4.87

Unit cell a=4.2502 b=7.0215 c=7.0215 alpha=119.79 beta=90.00 gamma=90.00
With the nearest neighbours (Å) after each atom.
Fractional positions:
1 Tm 0.0000 0.4148 0.4148  1 Au 2.88, 4 Ge 2.98
2 Au 0.0000 0.0054 0.0054  6 Al 2.69-2.73, 1 Tm 2.88, 2 Dy 2.93
3 Ge 0.5000 0.3335 0.6636  3 Al 2.73-2.75, 2 Tm 2.98, 4 Dy 3.01
4 Ge 0.5000 0.6636 0.3335  3 Al 2.73-2.75, 2 Tm 2.98, 4 Dy 3.01
5 Dy 0.0000 0.5846 0.9986  1 Au 2.93, 4 Ge 3.01, 2 Al 3.23
6 Dy 0.0000 0.9986 0.5846  1 Au 2.93, 4 Ge 3.01, 2 Al 3.23
7 Al 0.5000 0.9991 0.2379  2 Au 2.69, 2 Ge 2.73-2.75, 2 Al 2.90
8 Al 0.5000 0.2379 0.9991  2 Au 2.69, 2 Ge 2.73-2.75, 2 Al 2.90
9 Al 0.5000 0.7624 0.7624  2 Au 2.73, 2 Ge 2.73, 2 Al 2.90

(8)
The following is a DFT calculation (PBE) of Dy2YAl3Ge2Au after structural relaxation.

Results
Electronic total energy, eV/atom: -5.10

Unit cell a=4.2686 b=7.0590 c=7.0590 alpha=120.05 beta=90.00 gamma=90.00
With the nearest neighbours (Å) after each atom.
Fractional positions:
1 Au 0.0000 0.9989 0.9989  6 Al 2.71-2.72, 2 Dy 2.92, 1 Y 2.93
2 Al 0.5000 0.2379 0.0000  2 Au 2.72, 2 Ge 2.75, 2 Al 2.91
3 Al 0.5000 0.7622 0.7622  2 Au 2.71, 2 Ge 2.75, 2 Al 2.91
4 Al 0.5000 0.0000 0.2379  2 Au 2.72, 2 Ge 2.75, 2 Al 2.91
5 Y 0.0000 0.4148 0.4148  1 Au 2.93, 4 Ge 3.02, 2 Al 3.25
6 Dy 0.0000 0.5856 0.0002  1 Au 2.92, 4 Ge 3.01, 2 Al 3.25
7 Dy 0.0000 0.0002 0.5856  1 Au 2.92, 4 Ge 3.01, 2 Al 3.25
8 Ge 0.5000 0.6673 0.3332  3 Al 2.75, 4 Dy 3.01, 2 Y 3.02
9 Ge 0.5000 0.3332 0.6673  3 Al 2.75, 4 Dy 3.01, 2 Y 3.02

(9)
The following is a DFT calculation (PBE) of DyHo2Al3NiAu2 after structural relaxation.

Results
Electronic total energy, eV/atom: -4.88

Unit cell a=4.0696 b=7.1486 c=7.1486 alpha=120.04 beta=90.00 gamma=90.00
With the nearest neighbours (Å) after each atom.
Fractional positions:
1 Ho 0.0000 0.5980 0.0000  1 Ni 2.87, 4 Au 2.98
2 Ho 0.0000 0.0000 0.5980  1 Ni 2.87, 4 Au 2.98
3 Ni 0.0000 0.9990 0.9990  6 Al 2.59, 2 Ho 2.87, 1 Dy 2.88
4 Dy 0.0000 0.4026 0.4026  1 Ni 2.88, 4 Au 2.99, 4 Al 3.22
5 Al 0.5000 0.7756 0.7756  2 Ni 2.59, 2 Al 2.78, 2 Au 2.86
6 Al 0.5000 0.2242 0.9998  2 Ni 2.59, 2 Al 2.78, 2 Au 2.84-2.86
7 Al 0.5000 0.9998 0.2242  2 Ni 2.59, 2 Al 2.78, 2 Au 2.84-2.86
8 Au 0.5000 0.6677 0.3330  3 Al 2.84-2.86, 4 Ho 2.98, 2 Dy 2.99
9 Au 0.5000 0.3330 0.6677  3 Al 2.84-2.86, 4 Ho 2.98, 2 Dy 2.99

(10)
The following is a DFT calculation (PBE) of Dy2HoAl3NiAu2 after structural relaxation.

Results
Electronic total energy, eV/atom: -4.88

Unit cell a=4.0779 b=7.1562 c=7.1562 alpha=120.00 beta=90.00 gamma=90.00
With the nearest neighbours (Å) after each atom.
Fractional positions:
1 Al 0.5000 0.7743 0.9997  2 Ni 2.60, 2 Al 2.79, 2 Au 2.85-2.86
2 Al 0.5000 0.2253 0.2253  2 Ni 2.60, 2 Al 2.79, 2 Au 2.85
3 Al 0.5000 0.9997 0.7743  2 Ni 2.60, 2 Al 2.79, 2 Au 2.85-2.86
4 Dy 0.0000 0.0000 0.4014  1 Ni 2.88, 4 Au 2.99
5 Dy 0.0000 0.4014 0.0000  1 Ni 2.88, 4 Au 2.99
6 Au 0.5000 0.6662 0.3343  3 Al 2.85-2.86, 2 Ho 2.98, 4 Dy 2.99
7 Au 0.5000 0.3343 0.6662  3 Al 2.85-2.86, 2 Ho 2.98, 4 Dy 2.99
8 Ni 0.0000 0.9991 0.9991  6 Al 2.60, 1 Ho 2.86, 2 Dy 2.88
9 Ho 0.0000 0.5994 0.5994  1 Ni 2.86, 4 Au 2.98